# 1
{
  "formula": "TaAlNi",
  "functional": "PBE",
  "state": "optimized geometry",
  "lattice_angstrom": [[2.512, -4.236, 0.000], [2.512, 4.236, 0.000], [0.000, 0.000, 7.998]],
  "species": ["Ni", "Ni", "Ni", "Ni", "Ta", "Ta", "Ta", "Ta", "Al", "Al", "Al", "Al"],
  "frac_coords": [[0.347, 0.172, 0.000], [0.831, 0.169, 0.000], [0.828, 0.653, 0.000], [0.161, 0.839, 0.500], [0.337, 0.663, 0.820], [0.337, 0.663, 0.180], [0.667, 0.333, 0.300], [0.667, 0.333, 0.700], [0.648, 0.836, 0.500], [0.007, 0.993, 0.238], [0.007, 0.993, 0.762], [0.164, 0.352, 0.500]],
  "dft_energy_ry_per_atom": -0.555,
  "formation_energy_kj_per_mol_atoms": -40.6,
  "n_ef_per_ev_atom": 0.9772
}

# 2
{
  "formula": "Tb5ZrN6",
  "functional": "PBE",
  "state": "optimized geometry",
  "lattice_angstrom": [[5.905, 0.144, 0.897], [1.451, 5.009, 2.920], [0.099, 0.055, 5.973]],
  "species": ["Tb", "Tb", "Tb", "Tb", "Tb", "N", "N", "N", "N", "N", "N", "Zr"],
  "frac_coords": [[0.000, 0.667, 0.667], [0.500, 0.500, 0.000], [0.000, 0.333, 0.333], [0.500, 0.166, 0.668], [0.500, 0.834, 0.332], [0.241, 0.920, 0.681], [0.757, 0.761, 0.000], [0.243, 0.239, 0.000], [0.759, 0.080, 0.319], [0.241, 0.600, 0.319], [0.759, 0.400, 0.681], [0.000, 0.000, 0.000]],
  "dft_energy_ry_per_atom": -0.625,
  "n_ef_per_ev_atom": 0.1525,
  "formation_energy_uncorrected_mev_per_atom": -1694
}

# 3
{
  "formula": "Cu2Bi2S3",
  "functional": "PBE",
  "state": "optimized geometry",
  "lattice_angstrom": [[6.572, 0.000, -0.021], [0.000, 8.188, 0.000], [2.885, 0.000, 5.388]],
  "species": ["S", "S", "S", "S", "S", "S", "Bi", "Bi", "Bi", "Bi", "Cu", "Cu", "Cu", "Cu"],
  "frac_coords": [[0.500, 0.500, 0.000], [0.702, 0.129, 0.646], [0.798, 0.629, 0.354], [0.202, 0.371, 0.646], [0.000, 0.000, 0.000], [0.298, 0.871, 0.354], [0.063, 0.312, 0.154], [0.937, 0.688, 0.846], [0.437, 0.812, 0.846], [0.563, 0.188, 0.154], [0.087, 0.110, 0.585], [0.587, 0.390, 0.585], [0.913, 0.890, 0.415], [0.413, 0.610, 0.415]],
  "dft_energy_ry_per_atom": -0.304,
  "n_ef_per_ev_atom": 0.2977,
  "formation_energy_uncorrected_mev_per_atom": -91
}

# 4
{
  "formula": "Pm3Nd3Y5",
  "functional": "PBE",
  "state": "optimized geometry",
  "lattice_angstrom": [[-0.249, 5.531, 0.547], [-9.697, -0.437, 0.000], [4.886, -0.607, 8.366]],
  "species": ["Pm", "Pm", "Pm", "Nd", "Nd", "Nd", "Y", "Y", "Y", "Y", "Y"],
  "frac_coords": [[0.000, 0.000, 0.530], [0.000, 0.470, 0.470], [0.000, 0.530, 0.000], [0.500, 0.371, 0.000], [0.500, 0.000, 0.371], [0.500, 0.629, 0.629], [0.500, 0.333, 0.667], [0.500, 0.667, 0.333], [0.500, 0.000, 0.737], [0.500, 0.263, 0.263], [0.500, 0.737, 0.000]],
  "dft_energy_ry_per_atom": -0.350,
  "e_above_lowest_polymorph_mev_per_atom": 429,
  "formation_energy_kj_per_mol_atoms": 74.1,
  "n_ef_per_ev_atom": 1.6736
}

# 5
{
  "formula": "RbTl2Pb2Br7",
  "functional": "PBE",
  "state": "optimized geometry",
  "lattice_angstrom": [[-0.848, -3.906, -3.385], [-0.900, -4.602, 5.536], [-12.066, 6.947, -0.939]],
  "species": ["Pb", "Pb", "Br", "Br", "Br", "Br", "Br", "Br", "Br", "Tl", "Tl", "Rb"],
  "frac_coords": [[0.609, 0.644, 0.219], [0.391, 0.426, 0.781], [0.875, 0.211, 0.749], [0.125, 0.462, 0.251], [0.722, 0.854, 0.444], [0.278, 0.410, 0.556], [0.416, 0.835, 0.833], [0.584, 0.002, 0.167], [0.500, 0.415, 0.000], [0.296, 0.875, 0.592], [0.704, 0.282, 0.408], [0.000, 0.083, 0.000]],
  "dft_energy_ry_per_atom": -0.227,
  "n_ef_per_ev_atom": 0.0000,
  "formation_energy_uncorrected_mev_per_atom": -1015
}

# 6
{
  "formula": "AcTh2Hg6",
  "functional": "PBE",
  "state": "optimized geometry",
  "lattice_angstrom": [[-0.992, 1.047, 3.210], [-8.200, 1.454, -3.008], [2.177, -7.939, 3.262]],
  "species": ["Hg", "Hg", "Hg", "Hg", "Hg", "Hg", "Th", "Th", "Ac"],
  "frac_coords": [[0.500, 0.336, 0.000], [0.500, 0.000, 0.664], [0.500, 0.664, 0.664], [0.500, 0.664, 0.000], [0.500, 0.000, 0.336], [0.500, 0.336, 0.336], [0.000, 0.333, 0.667], [0.000, 0.667, 0.333], [0.000, 0.000, 0.000]],
  "dft_energy_ry_per_atom": -0.192,
  "formation_energy_kj_per_mol_atoms": -29.4,
  "n_ef_per_ev_atom": 0.6375
}

# 7
{
  "formula": "La2TaBe",
  "functional": "PBE",
  "state": "optimized geometry",
  "lattice_angstrom": [[-4.701, -2.692, 1.307], [0.786, -3.173, 4.513], [1.083, 5.365, -1.047]],
  "species": ["La", "La", "Be", "Ta"],
  "frac_coords": [[0.000, 0.000, 0.000], [0.250, 0.750, 0.500], [0.750, 0.250, 0.500], [0.500, 0.500, 0.000]],
  "dft_energy_ry_per_atom": -0.426,
  "formation_energy_kj_per_mol_atoms": 54.9,
  "n_ef_per_ev_atom": 1.2521
}

# 8
{
  "formula": "In2HgW",
  "functional": "PBE",
  "state": "optimized geometry",
  "lattice_angstrom": [[-2.591, -4.691, 1.595], [2.076, -4.846, -1.864], [1.982, 4.609, 2.468]],
  "species": ["In", "In", "W", "Hg"],
  "frac_coords": [[0.250, 0.750, 0.500], [0.000, 0.000, 0.000], [0.500, 0.500, 0.000], [0.750, 0.250, 0.500]],
  "dft_energy_ry_per_atom": -0.298,
  "formation_energy_kj_per_mol_atoms": 60.7,
  "n_ef_per_ev_atom": 0.3967
}

# 9
{
  "formula": "VCr2HPt",
  "functional": "PBE",
  "state": "optimized geometry",
  "lattice_angstrom": [[-2.068, -3.095, 0.473], [0.623, -0.963, -3.573], [3.135, -1.932, 1.067]],
  "species": ["Cr", "Cr", "V", "Pt", "H"],
  "frac_coords": [[0.500, 0.000, 0.000], [0.000, 0.500, 0.000], [0.000, 0.000, 0.500], [0.500, 0.500, 0.500], [0.000, 0.000, 0.000]],
  "dft_energy_ry_per_atom": -0.566,
  "n_ef_per_ev_atom": 1.2250
}

# 10
{
  "formula": "Ti2Fe2Tc",
  "functional": "PBE",
  "state": "optimized geometry",
  "lattice_angstrom": [[6.738, 0.000, 0.000], [0.000, 6.738, 0.000], [0.000, 0.000, 2.981]],
  "species": ["Ti", "Ti", "Ti", "Ti", "Fe", "Fe", "Fe", "Fe", "Tc", "Tc"],
  "frac_coords": [[0.826, 0.326, 0.500], [0.174, 0.674, 0.500], [0.326, 0.174, 0.500], [0.674, 0.826, 0.500], [0.373, 0.873, 0.000], [0.627, 0.127, 0.000], [0.873, 0.627, 0.000], [0.127, 0.373, 0.000], [0.000, 0.000, 0.000], [0.500, 0.500, 0.000]],
  "dft_energy_ry_per_atom": -0.636,
  "e_above_lowest_polymorph_mev_per_atom": 0,
  "formation_energy_kj_per_mol_atoms": -3.0,
  "n_ef_per_ev_atom": 1.3018
}

# 11
{
  "formula": "Pr2Nd7Tm3",
  "functional": "PBE",
  "state": "optimized geometry",
  "lattice_angstrom": [[-2.756, 2.274, 0.288], [-0.550, -1.466, 6.305], [10.774, 11.969, 8.585]],
  "species": ["Nd", "Nd", "Nd", "Nd", "Nd", "Nd", "Nd", "Pr", "Pr", "Tm", "Tm", "Tm"],
  "frac_coords": [[0.500, 0.058, 0.170], [0.500, 0.237, 0.504], [0.500, 0.763, 0.496], [0.500, 0.942, 0.830], [0.000, 0.557, 0.163], [0.000, 0.000, 0.000], [0.000, 0.443, 0.837], [0.500, 0.388, 0.671], [0.500, 0.612, 0.329], [0.000, 0.886, 0.658], [0.500, 0.500, 0.000], [0.000, 0.114, 0.342]],
  "dft_energy_ry_per_atom": -0.340,
  "e_above_lowest_polymorph_mev_per_atom": 0,
  "formation_energy_kj_per_mol_atoms": 6.3,
  "n_ef_per_ev_atom": 1.4746
}

# 12
{
  "formula": "SrIn2Se",
  "functional": "PBE",
  "state": "optimized geometry",
  "lattice_angstrom": [[4.179, 0.000, 0.000], [0.000, 4.550, -0.046], [0.000, 2.334, 6.351]],
  "species": ["Se", "Sr", "In", "In"],
  "frac_coords": [[0.000, 0.250, 0.620], [0.500, 0.749, 0.622], [0.000, 0.025, 0.079], [0.500, 0.475, 0.178]],
  "dft_energy_ry_per_atom": -0.250,
  "n_ef_per_ev_atom": 0.4302,
  "formation_energy_uncorrected_mev_per_atom": -737
}

# 13
{
  "formula": "MnAgAu2",
  "functional": "PBE",
  "state": "optimized geometry",
  "lattice_angstrom": [[-7.611, -2.104, -4.105], [-5.672, -2.295, -6.462], [-6.029, -4.678, -4.579]],
  "species": ["Ag", "Au", "Au", "Mn"],
  "frac_coords": [[0.750, 0.750, 0.750], [0.505, 0.505, 0.505], [0.995, 0.995, 0.995], [0.250, 0.250, 0.250]],
  "dft_energy_ry_per_atom": -0.338,
  "formation_energy_kj_per_mol_atoms": 4.2,
  "n_ef_per_ev_atom": 0.2847
}

# 14
{
  "formula": "CaCr2S4",
  "functional": "PBE",
  "state": "optimized geometry",
  "lattice_angstrom": [[2.527, 5.508, 4.034], [-5.705, 3.996, -2.119], [-1.025, -6.462, 3.193]],
  "species": ["Cr", "Cr", "Cr", "Cr", "S", "S", "S", "S", "S", "S", "S", "S", "Ca", "Ca"],
  "frac_coords": [[0.500, 0.500, 0.500], [0.500, 0.500, 0.000], [0.000, 0.500, 0.500], [0.500, 0.000, 0.000], [0.735, 0.265, 0.470], [0.739, 0.270, 0.031], [0.739, 0.709, 0.469], [0.265, 0.735, 0.530], [0.261, 0.730, 0.969], [0.705, 0.735, 0.970], [0.295, 0.265, 0.030], [0.261, 0.291, 0.531], [0.500, 0.000, 0.500], [0.000, 0.000, 0.000]],
  "dft_energy_ry_per_atom": -0.474,
  "e_above_lowest_polymorph_mev_per_atom": 0,
  "n_ef_per_ev_atom": 0.0016,
  "formation_energy_uncorrected_mev_per_atom": -1061
}

# 15
{
  "formula": "AcCeTlIn",
  "functional": "PBE",
  "state": "optimized geometry",
  "lattice_angstrom": [[-1.477, 0.875, -5.411], [-1.417, -4.395, -3.302], [-5.394, -0.710, -1.620]],
  "species": ["Tl", "Ce", "In", "Ac"],
  "frac_coords": [[0.000, 0.000, 0.000], [0.250, 0.250, 0.250], [0.500, 0.500, 0.500], [0.750, 0.750, 0.750]],
  "dft_energy_ry_per_atom": -0.300,
  "e_above_lowest_polymorph_mev_per_atom": 17,
  "formation_energy_kj_per_mol_atoms": -28.2,
  "n_ef_per_ev_atom": 2.5007
}

# 16
{
  "formula": "Dy3Re2Si4",
  "functional": "PBE",
  "state": "optimized geometry",
  "lattice_angstrom": [[-4.185, 0.000, -0.311], [2.444, -2.572, -4.566], [-0.450, -5.408, 6.042]],
  "species": ["Si", "Si", "Si", "Si", "Re", "Re", "Dy", "Dy", "Dy"],
  "frac_coords": [[0.097, 0.193, 0.418], [0.713, 0.427, 0.075], [0.287, 0.573, 0.925], [0.903, 0.807, 0.582], [0.320, 0.639, 0.648], [0.680, 0.361, 0.352], [0.622, 0.243, 0.699], [0.378, 0.757, 0.301], [0.000, 0.000, 0.000]],
  "dft_energy_ry_per_atom": -0.538,
  "n_ef_per_ev_atom": 0.4717,
  "formation_energy_uncorrected_mev_per_atom": -613
}

# 17
{
  "formula": "PrEu2Tm",
  "functional": "PBE",
  "state": "optimized geometry",
  "lattice_angstrom": [[4.072, 0.000, 0.000], [0.000, 5.969, 0.000], [0.000, 0.000, 5.969]],
  "species": ["Eu", "Eu", "Pr", "Tm"],
  "frac_coords": [[0.000, 0.500, 0.000], [0.000, 0.000, 0.500], [0.500, 0.500, 0.500], [0.500, 0.000, 0.000]],
  "dft_energy_ry_per_atom": -0.536,
  "e_above_lowest_polymorph_mev_per_atom": 64,
  "formation_energy_kj_per_mol_atoms": 15.4,
  "n_ef_per_ev_atom": 1.4184
}

# 18
{
  "formula": "SrGaAg2",
  "functional": "PBE",
  "state": "optimized geometry",
  "lattice_angstrom": [[5.178, 0.000, 0.000], [0.000, 5.178, 0.000], [2.589, 2.589, 8.834]],
  "species": ["Ag", "Ag", "Ag", "Ag", "Sr", "Sr", "Ga", "Ga"],
  "frac_coords": [[0.875, 0.684, 0.750], [0.316, 0.625, 0.250], [0.434, 0.125, 0.250], [0.375, 0.566, 0.750], [0.750, 0.250, 0.500], [0.000, 0.000, 0.000], [0.500, 0.500, 0.000], [0.250, 0.750, 0.500]],
  "dft_energy_ry_per_atom": -0.197,
  "formation_energy_kj_per_mol_atoms": -7.6,
  "n_ef_per_ev_atom": 0.7936
}

# 19
{
  "formula": "HgBi3Au",
  "functional": "PBE",
  "state": "optimized geometry",
  "lattice_angstrom": [[5.624, 0.000, 0.000], [0.000, 5.624, 0.000], [0.000, 0.000, 5.624]],
  "species": ["Au", "Hg", "Bi", "Bi", "Bi"],
  "frac_coords": [[0.000, 0.000, 0.000], [0.500, 0.500, 0.500], [0.000, 0.500, 0.000], [0.500, 0.000, 0.000], [0.000, 0.000, 0.500]],
  "dft_energy_ry_per_atom": -0.189,
  "e_above_lowest_polymorph_mev_per_atom": 441,
  "formation_energy_kj_per_mol_atoms": 46.2,
  "n_ef_per_ev_atom": 1.2174
}

# 20
{
  "formula": "YSnP2S",
  "functional": "PBE",
  "state": "optimized geometry",
  "lattice_angstrom": [[5.258, 0.000, 0.000], [0.000, 5.258, 0.000], [0.000, 0.000, 5.174]],
  "species": ["P", "P", "Sn", "Y", "S"],
  "frac_coords": [[0.500, 0.000, 0.000], [0.000, 0.500, 0.000], [0.500, 0.500, 0.500], [0.000, 0.000, 0.000], [0.000, 0.000, 0.500]],
  "dft_energy_ry_per_atom": -0.359,
  "e_above_lowest_polymorph_mev_per_atom": 77,
  "n_ef_per_ev_atom": 1.1600,
  "formation_energy_uncorrected_mev_per_atom": 198
}

# 21
{
  "formula": "YSb6Pd12",
  "functional": "PBE",
  "state": "optimized geometry",
  "lattice_angstrom": [[-0.422, 3.742, 6.598], [5.294, -5.348, 1.045], [3.043, 4.921, -4.923]],
  "species": ["Pd", "Pd", "Pd", "Pd", "Pd", "Pd", "Pd", "Pd", "Pd", "Pd", "Pd", "Pd", "Sb", "Sb", "Sb", "Sb", "Sb", "Sb", "Y"],
  "frac_coords": [[0.879, 0.121, 0.500], [0.645, 0.884, 0.645], [0.879, 0.500, 0.121], [0.500, 0.121, 0.879], [0.884, 0.645, 0.645], [0.121, 0.879, 0.500], [0.121, 0.500, 0.879], [0.355, 0.116, 0.355], [0.645, 0.645, 0.884], [0.500, 0.879, 0.121], [0.355, 0.355, 0.116], [0.116, 0.355, 0.355], [0.323, 0.734, 0.734], [0.266, 0.677, 0.266], [0.734, 0.734, 0.323], [0.677, 0.266, 0.266], [0.266, 0.266, 0.677], [0.734, 0.323, 0.734], [0.000, 0.000, 0.000]],
  "dft_energy_ry_per_atom": -0.389,
  "n_ef_per_ev_atom": 0.5326,
  "formation_energy_uncorrected_mev_per_atom": -375
}

# 22
{
  "formula": "ScPaInRu",
  "functional": "PBE",
  "state": "optimized geometry",
  "lattice_angstrom": [[4.838, 0.000, 0.000], [2.419, 4.190, 0.000], [2.419, 1.397, 3.950]],
  "species": ["Pa", "Ru", "Sc", "In"],
  "frac_coords": [[0.000, 0.000, 0.000], [0.250, 0.250, 0.250], [0.750, 0.750, 0.750], [0.500, 0.500, 0.500]],
  "dft_energy_ry_per_atom": -0.530,
  "formation_energy_kj_per_mol_atoms": -24.7,
  "n_ef_per_ev_atom": 0.7987
}